Run a
Material: Er6PuSc2
Method: DFT, PBE-GGA
State: optimized geometry Values from VASP.

```
&SYSTEM
  ibrav = 0, nat = 9, ntyp = 3
/
ATOMIC_SPECIES
Er 167.26 Er.upf
Sc 44.96 Sc.upf
Pu 244.00 Pu.upf
ATOMIC_POSITIONS crystal
Er 0.053 0.053 0.289
Er 0.053 0.604 0.289
Er 0.604 0.053 0.289
Er 0.772 0.262 0.704
Er 0.262 0.772 0.704
Er 0.262 0.262 0.704
Sc 0.580 0.580 0.259
Sc 0.757 0.757 0.730
Pu 0.322 0.322 0.035
CELL_PARAMETERS angstrom
-4.221 -3.840 4.219
-4.485 -4.723 -2.817
1.450 -7.216 0.851
```

- M_tot: 4.21 μB/f.u.

***

Run b
Material: Er6PuSc2
Method: DFT, PBE-GGA
State: optimized geometry Values from VASP.

```
&SYSTEM
  ibrav = 0, nat = 18, ntyp = 3
/
ATOMIC_SPECIES
Sc 44.96 Sc.upf
Er 167.26 Er.upf
Pu 244.00 Pu.upf
ATOMIC_POSITIONS crystal
Sc 0.001 0.667 0.833
Sc 0.501 0.833 0.667
Sc 0.499 0.167 0.333
Sc 0.999 0.333 0.167
Er 0.584 0.584 0.084
Er 0.164 0.498 0.331
Er 0.664 0.997 0.831
Er 0.336 0.669 0.502
Er 0.664 0.331 0.498
Er 0.416 0.416 0.916
Er 0.084 0.084 0.584
Er 0.336 0.003 0.169
Er 0.916 0.916 0.416
Er 0.836 0.502 0.669
Er 0.836 0.169 0.002
Er 0.164 0.831 0.998
Pu 0.250 0.250 0.750
Pu 0.750 0.750 0.250
CELL_PARAMETERS angstrom
5.401 -0.574 -0.713
-0.992 9.815 5.536
-1.081 2.112 11.061
```

- M_tot: 6.57 μB/f.u.

***

Of them, run a has the lowest stability.

***

Run a
Material: ErPu2Sc6
Method: DFT, PBE-GGA
State: optimized geometry Values from VASP.

```
&SYSTEM
  ibrav = 0, nat = 18, ntyp = 3
/
ATOMIC_SPECIES
Er 167.26 Er.upf
Pu 244.00 Pu.upf
Sc 44.96 Sc.upf
ATOMIC_POSITIONS crystal
Er 0.166 0.250 0.834
Er 0.834 0.750 0.166
Pu 0.778 0.571 0.587
Pu 0.587 0.071 0.778
Pu 0.222 0.429 0.413
Pu 0.413 0.929 0.222
Sc 0.989 0.691 0.801
Sc 0.922 0.143 0.613
Sc 0.801 0.191 0.989
Sc 0.011 0.309 0.199
Sc 0.672 0.031 0.417
Sc 0.417 0.531 0.672
Sc 0.199 0.809 0.011
Sc 0.078 0.857 0.387
Sc 0.583 0.469 0.328
Sc 0.328 0.969 0.583
Sc 0.387 0.357 0.078
Sc 0.613 0.643 0.922
CELL_PARAMETERS angstrom
-6.161 3.888 -3.820
-7.541 -3.838 0.105
-4.660 1.225 6.667
```

- M_tot: 12.31 μB/f.u.

***

Run b
Material: ErPu2Sc6
Method: DFT, PBE-GGA
State: optimized geometry Values from VASP.

```
&SYSTEM
  ibrav = 0, nat = 9, ntyp = 3
/
ATOMIC_SPECIES
Sc 44.96 Sc.upf
Pu 244.00 Pu.upf
Er 167.26 Er.upf
ATOMIC_POSITIONS crystal
Sc 0.749 0.336 0.336
Sc 0.251 0.000 0.336
Sc 0.749 0.000 0.664
Sc 0.251 0.336 0.000
Sc 0.749 0.664 0.000
Sc 0.251 0.664 0.664
Pu 0.500 0.667 0.333
Pu 0.500 0.333 0.667
Er 0.000 0.000 0.000
CELL_PARAMETERS angstrom
-0.045 7.055 -7.699
-5.376 -0.805 -0.706
1.761 3.832 3.501
```

- M_tot: 13.37 μB/f.u.

***

Of them, run b has the lowest stability.

***

Run a
Material: ErPuSe2
Method: DFT, PBE-GGA
State: optimized geometry Values from VASP.

```
&SYSTEM
  ibrav = 0, nat = 4, ntyp = 3
/
ATOMIC_SPECIES
Se 78.96 Se.upf
Pu 244.00 Pu.upf
Er 167.26 Er.upf
ATOMIC_POSITIONS crystal
Se 0.248 0.248 0.256
Se 0.085 0.085 0.746
Pu 0.671 0.671 0.988
Er 0.496 0.496 0.511
CELL_PARAMETERS angstrom
3.948 0.000 0.000
1.974 3.419 0.000
1.974 1.140 7.261
```

- M_tot: 5.51 μB/f.u.

***

Run b
Material: ErPuSe2
Method: DFT, PBE-GGA
State: optimized geometry Values from VASP.

```
&SYSTEM
  ibrav = 0, nat = 8, ntyp = 3
/
ATOMIC_SPECIES
Se 78.96 Se.upf
Er 167.26 Er.upf
Pu 244.00 Pu.upf
ATOMIC_POSITIONS crystal
Se 0.333 0.667 0.382
Se 0.667 0.333 0.882
Se 0.667 0.333 0.618
Se 0.333 0.667 0.118
Er 0.000 0.000 0.000
Er 0.000 0.000 0.500
Pu 0.333 0.667 0.750
Pu 0.667 0.333 0.250
CELL_PARAMETERS angstrom
-0.579 -2.518 3.066
1.027 -1.430 -3.602
13.563 1.074 3.442
```

- M_tot: 6.06 μB/f.u.

***

Of them, run a has the lowest stability.

***

Run a
Material: ErPuSe
Method: DFT, PBE-GGA
State: optimized geometry Values from VASP.

```
&SYSTEM
  ibrav = 0, nat = 3, ntyp = 3
/
ATOMIC_SPECIES
Er 167.26 Er.upf
Pu 244.00 Pu.upf
Se 78.96 Se.upf
ATOMIC_POSITIONS crystal
Er 0.333 0.667 0.614
Pu 0.000 0.000 0.045
Se 0.667 0.333 0.341
CELL_PARAMETERS angstrom
-0.800 3.675 0.439
0.537 -2.197 3.037
6.531 1.436 -0.116
```

- M_tot: 6.61 μB/f.u.

***

Run b
Material: ErPuSe
Method: DFT, PBE-GGA
State: optimized geometry Values from VASP.

```
&SYSTEM
  ibrav = 0, nat = 3, ntyp = 3
/
ATOMIC_SPECIES
Pu 244.00 Pu.upf
Se 78.96 Se.upf
Er 167.26 Er.upf
ATOMIC_POSITIONS crystal
Pu 0.977 0.977 0.953
Se 0.330 0.330 0.659
Er 0.694 0.694 0.388
CELL_PARAMETERS angstrom
3.531 0.000 0.000
0.000 3.531 0.000
-1.766 -1.766 6.265
```

- M_tot: 6.11 μB/f.u.

***

Of them, run b has the lowest stability.

***

Run a
Material: ErPuSe3
Method: DFT, PBE-GGA
State: optimized geometry Values from VASP.

```
&SYSTEM
  ibrav = 0, nat = 10, ntyp = 3
/
ATOMIC_SPECIES
Er 167.26 Er.upf
Se 78.96 Se.upf
Pu 244.00 Pu.upf
ATOMIC_POSITIONS crystal
Er 0.250 0.857 0.328
Er 0.750 0.143 0.672
Se 0.250 0.895 0.680
Se 0.250 0.379 0.613
Se 0.750 0.621 0.387
Se 0.750 0.312 0.977
Se 0.750 0.105 0.320
Se 0.250 0.688 0.023
Pu 0.250 0.386 0.226
Pu 0.750 0.614 0.774
CELL_PARAMETERS angstrom
-2.619 2.530 1.761
-4.612 -6.236 2.099
4.457 -0.187 6.897
```

- M_tot: 5.00 μB/f.u.

***

Run b
Material: ErPuSe3
Method: DFT, PBE-GGA
State: optimized geometry Values from VASP.

```
&SYSTEM
  ibrav = 0, nat = 20, ntyp = 3
/
ATOMIC_SPECIES
Se 78.96 Se.upf
Pu 244.00 Pu.upf
Er 167.26 Er.upf
ATOMIC_POSITIONS crystal
Se 0.250 0.878 0.934
Se 0.250 0.149 0.781
Se 0.250 0.009 0.394
Se 0.250 0.378 0.566
Se 0.250 0.649 0.719
Se 0.750 0.351 0.281
Se 0.750 0.491 0.894
Se 0.750 0.622 0.434
Se 0.750 0.991 0.606
Se 0.750 0.851 0.219
Se 0.250 0.509 0.106
Se 0.750 0.122 0.066
Pu 0.250 0.138 0.206
Pu 0.750 0.862 0.794
Pu 0.250 0.638 0.294
Pu 0.750 0.362 0.706
Er 0.250 0.767 0.542
Er 0.750 0.733 0.042
Er 0.250 0.267 0.958
Er 0.750 0.233 0.458
CELL_PARAMETERS angstrom
-2.528 -2.947 -1.301
0.543 -3.466 6.794
-12.353 8.293 5.217
```

- M_tot: 5.00 μB/f.u.

***

Of them, run a has the lowest stability.

***

Run a
Material: ErPu2Si
Method: DFT, PBE-GGA
State: optimized geometry Values from VASP.

```
&SYSTEM
  ibrav = 0, nat = 4, ntyp = 3
/
ATOMIC_SPECIES
Pu 244.00 Pu.upf
Er 167.26 Er.upf
Si 28.09 Si.upf
ATOMIC_POSITIONS crystal
Pu 0.000 0.500 0.000
Pu 0.000 0.000 0.500
Er 0.500 0.500 0.500
Si 0.500 0.000 0.000
CELL_PARAMETERS angstrom
-2.337 -1.948 3.764
-0.823 -3.549 -2.348
3.705 -1.774 1.382
```

- M_tot: 11.44 μB/f.u.

***

Run b
Material: ErPu2Si
Method: DFT, PBE-GGA
State: optimized geometry Values from VASP.

```
&SYSTEM
  ibrav = 0, nat = 4, ntyp = 3
/
ATOMIC_SPECIES
Er 167.26 Er.upf
Si 28.09 Si.upf
Pu 244.00 Pu.upf
ATOMIC_POSITIONS crystal
Er 0.500 0.500 0.500
Si 0.000 0.000 0.000
Pu 0.736 0.736 0.793
Pu 0.264 0.264 0.207
CELL_PARAMETERS angstrom
3.435 0.000 0.000
1.718 2.975 0.000
1.718 0.992 10.136
```

- M_tot: 11.50 μB/f.u.

***

Of them, run b has the lowest stability.

***

Run a
Material: ErPuSi4
Method: DFT, PBE-GGA
State: optimized geometry Values from VASP.

```
&SYSTEM
  ibrav = 0, nat = 6, ntyp = 3
/
ATOMIC_SPECIES
Er 167.26 Er.upf
Si 28.09 Si.upf
Pu 244.00 Pu.upf
ATOMIC_POSITIONS crystal
Er 0.250 0.250 0.250
Si 0.625 0.125 0.625
Si 0.625 0.625 0.125
Si 0.125 0.625 0.625
Si 0.625 0.625 0.625
Pu 0.000 0.000 0.000
CELL_PARAMETERS angstrom
5.271 0.000 0.000
2.636 4.565 0.000
2.636 1.522 4.304
```

- M_tot: 6.50 μB/f.u.

***

Run b
Material: ErPuSi4
Method: DFT, PBE-GGA
State: optimized geometry Values from VASP.

```
&SYSTEM
  ibrav = 0, nat = 24, ntyp = 3
/
ATOMIC_SPECIES
Pu 244.00 Pu.upf
Si 28.09 Si.upf
Er 167.26 Er.upf
ATOMIC_POSITIONS crystal
Pu 0.000 0.893 0.863
Pu 0.000 0.107 0.137
Pu 0.000 0.607 0.363
Pu 0.000 0.393 0.637
Si 0.500 0.869 0.429
Si 0.500 0.960 0.711
Si 0.500 0.460 0.789
Si 0.500 0.321 0.310
Si 0.500 0.821 0.190
Si 0.500 0.631 0.929
Si 0.500 0.629 0.529
Si 0.500 0.679 0.690
Si 0.500 0.129 0.971
Si 0.500 0.540 0.211
Si 0.500 0.369 0.071
Si 0.500 0.040 0.289
Si 0.500 0.131 0.571
Si 0.500 0.871 0.029
Si 0.500 0.179 0.810
Si 0.500 0.371 0.471
Er 0.000 0.638 0.085
Er 0.000 0.862 0.585
Er 0.000 0.138 0.415
Er 0.000 0.362 0.915
CELL_PARAMETERS angstrom
4.009 0.000 0.000
0.000 8.244 0.000
0.000 0.000 14.446
```

- M_tot: 5.31 μB/f.u.

***

Of them, run b has the lowest stability.

***

Run a
Material: ErPu2Sn
Method: DFT, PBE-GGA
State: optimized geometry Values from VASP.

```
&SYSTEM
  ibrav = 0, nat = 4, ntyp = 3
/
ATOMIC_SPECIES
Pu 244.00 Pu.upf
Sn 118.71 Sn.upf
Er 167.26 Er.upf
ATOMIC_POSITIONS crystal
Pu 0.000 0.500 0.000
Pu 0.000 0.000 0.500
Sn 0.500 0.000 0.000
Er 0.500 0.500 0.500
CELL_PARAMETERS angstrom
5.097 0.000 0.000
0.000 4.543 0.000
0.000 0.000 4.543
```

- M_tot: 12.40 μB/f.u.

***

Run b
Material: ErPu2Sn
Method: DFT, PBE-GGA
State: optimized geometry Values from VASP.

```
&SYSTEM
  ibrav = 0, nat = 4, ntyp = 3
/
ATOMIC_SPECIES
Er 167.26 Er.upf
Sn 118.71 Sn.upf
Pu 244.00 Pu.upf
ATOMIC_POSITIONS crystal
Er 0.000 0.000 0.000
Sn 0.500 0.500 0.500
Pu 0.250 0.250 0.250
Pu 0.750 0.750 0.750
CELL_PARAMETERS angstrom
-5.038 -1.815 -0.040
-1.221 -4.452 -2.714
-1.250 -4.488 2.640
```

- M_tot: 12.59 μB/f.u.

***

Of them, run b has the lowest stability.

***

Run a
Material: Tb2ErPu
Method: DFT, PBE-GGA
State: optimized geometry Values from VASP.

```
&SYSTEM
  ibrav = 0, nat = 4, ntyp = 3
/
ATOMIC_SPECIES
Er 167.26 Er.upf
Tb 158.93 Tb.upf
Pu 244.00 Pu.upf
ATOMIC_POSITIONS crystal
Er 0.500 0.500 0.499
Tb 0.083 0.083 0.752
Tb 0.251 0.251 0.248
Pu 0.666 0.666 0.001
CELL_PARAMETERS angstrom
-0.244 3.397 0.958
-3.139 1.365 0.894
0.680 -1.326 11.408
```

- M_tot: 5.89 μB/f.u.

***

Run b
Material: Tb2ErPu
Method: DFT, PBE-GGA
State: optimized geometry Values from VASP.

```
&SYSTEM
  ibrav = 0, nat = 4, ntyp = 3
/
ATOMIC_SPECIES
Pu 244.00 Pu.upf
Tb 158.93 Tb.upf
Er 167.26 Er.upf
ATOMIC_POSITIONS crystal
Pu 0.000 0.000 0.000
Tb 0.250 0.250 0.250
Tb 0.750 0.750 0.750
Er 0.500 0.500 0.500
CELL_PARAMETERS angstrom
-3.073 -4.650 0.138
-0.490 -3.154 -4.571
2.480 -4.988 -0.224
```

- M_tot: 7.34 μB/f.u.

***

Of them, run b has the lowest stability.

***

Run a
Material: Tb2ErPu
Method: DFT, PBE-GGA
State: optimized geometry Values from VASP.

```
&SYSTEM
  ibrav = 0, nat = 4, ntyp = 3
/
ATOMIC_SPECIES
Pu 244.00 Pu.upf
Er 167.26 Er.upf
Tb 158.93 Tb.upf
ATOMIC_POSITIONS crystal
Pu 0.500 0.500 0.500
Er 0.500 0.500 0.000
Tb 0.000 0.000 0.747
Tb 0.000 0.000 0.253
CELL_PARAMETERS angstrom
3.490 0.000 0.000
0.000 3.490 0.000
0.000 0.000 10.000
```

- M_tot: 6.08 μB/f.u.

***

Run b
Material: Tb2ErPu
Method: DFT, PBE-GGA
State: optimized geometry Values from VASP.

```
&SYSTEM
  ibrav = 0, nat = 4, ntyp = 3
/
ATOMIC_SPECIES
Tb 158.93 Tb.upf
Pu 244.00 Pu.upf
Er 167.26 Er.upf
ATOMIC_POSITIONS crystal
Tb 0.000 0.000 0.500
Tb 0.000 0.500 0.000
Pu 0.500 0.000 0.000
Er 0.500 0.500 0.500
CELL_PARAMETERS angstrom
4.949 0.000 0.000
0.000 4.960 0.000
0.000 0.000 4.960
```

- M_tot: 6.23 μB/f.u.

***

Of them, run b has the lowest stability.

***

Run a
Material: TbEr4Pu
Method: DFT, PBE-GGA
State: optimized geometry Values from VASP.

```
&SYSTEM
  ibrav = 0, nat = 12, ntyp = 3
/
ATOMIC_SPECIES
Tb 158.93 Tb.upf
Er 167.26 Er.upf
Pu 244.00 Pu.upf
ATOMIC_POSITIONS crystal
Tb 0.228 0.228 0.000
Tb 0.978 0.478 0.500
Er 0.283 0.510 0.773
Er 0.260 0.988 0.727
Er 0.749 0.002 0.253
Er 0.749 0.497 0.747
Er 0.752 0.999 0.753
Er 0.738 0.510 0.227
Er 0.260 0.533 0.273
Er 0.247 0.999 0.247
Pu 0.752 0.752 0.000
Pu 0.502 0.002 0.500
CELL_PARAMETERS angstrom
-1.366 0.684 8.502
3.993 -5.766 -5.042
5.503 6.588 -0.960
```

- M_tot: 6.54 μB/f.u.

***

Run b
Material: TbEr4Pu
Method: DFT, PBE-GGA
State: optimized geometry Values from VASP.

```
&SYSTEM
  ibrav = 0, nat = 12, ntyp = 3
/
ATOMIC_SPECIES
Er 167.26 Er.upf
Tb 158.93 Tb.upf
Pu 244.00 Pu.upf
ATOMIC_POSITIONS crystal
Er 0.332 0.665 0.768
Er 0.556 0.112 0.018
Er 0.444 0.888 0.518
Er 0.111 0.222 0.522
Er 0.001 0.001 0.770
Er 0.667 0.335 0.268
Er 0.999 0.999 0.270
Er 0.889 0.778 0.022
Tb 0.778 0.556 0.515
Tb 0.222 0.444 0.015
Pu 0.334 0.668 0.267
Pu 0.666 0.332 0.767
CELL_PARAMETERS angstrom
3.503 0.000 0.011
-1.751 9.107 -0.005
-0.028 0.000 11.331
```

- M_tot: 5.96 μB/f.u.

***

Of them, run a has the lowest stability.

***

Run a
Material: Tb4Er3Pu
Method: DFT, PBE-GGA
State: optimized geometry Values from VASP.

```
&SYSTEM
  ibrav = 0, nat = 16, ntyp = 3
/
ATOMIC_SPECIES
Tb 158.93 Tb.upf
Pu 244.00 Pu.upf
Er 167.26 Er.upf
ATOMIC_POSITIONS crystal
Tb 0.064 0.129 0.248
Tb 0.564 0.126 0.500
Tb 0.064 0.874 0.000
Tb 0.564 0.129 0.000
Tb 0.064 0.129 0.752
Tb 0.564 0.871 0.748
Tb 0.064 0.871 0.500
Tb 0.564 0.871 0.252
Pu 0.064 0.375 0.000
Pu 0.564 0.625 0.500
Er 0.064 0.380 0.500
Er 0.564 0.620 0.000
Er 0.564 0.379 0.750
Er 0.064 0.621 0.750
Er 0.564 0.379 0.250
Er 0.064 0.621 0.250
CELL_PARAMETERS angstrom
-4.572 0.253 -1.898
2.731 -6.066 -7.388
-2.711 -7.894 5.479
```

- M_tot: 6.61 μB/f.u.

***

Run b
Material: Tb4Er3Pu
Method: DFT, PBE-GGA
State: optimized geometry Values from VASP.

```
&SYSTEM
  ibrav = 0, nat = 8, ntyp = 3
/
ATOMIC_SPECIES
Er 167.26 Er.upf
Pu 244.00 Pu.upf
Tb 158.93 Tb.upf
ATOMIC_POSITIONS crystal
Er 0.000 0.500 0.000
Er 0.763 0.763 0.527
Er 0.237 0.237 0.473
Pu 0.500 0.000 0.000
Tb 0.369 0.117 0.737
Tb 0.631 0.883 0.263
Tb 0.369 0.621 0.737
Tb 0.631 0.379 0.263
CELL_PARAMETERS angstrom
-1.231 -1.788 -2.634
10.706 -2.654 -3.201
-4.943 -2.984 6.547
```

- M_tot: 6.18 μB/f.u.

***

Of them, run b has the lowest stability.